# NiPdS2N | Alexandria | GGA-PBE | optimized geometry
data_NiPdS2N
_symmetry_space_group_name_H-M 'P 4/m m m'
_symmetry_Int_Tables_number 123
_symmetry_space_group_name_Hall '-P 4 2'
_cell_length_a 4.688
_cell_length_b 4.688
_cell_length_c 3.357
_cell_angle_alpha 90.00
_cell_angle_beta 90.00
_cell_angle_gamma 90.00
loop_
_atom_site_label
_atom_site_fract_x
_atom_site_fract_y
_atom_site_fract_z
_atom_site_occupancy
Ni1 0.000 0.000 0.000 1
Pd1 0.500 0.500 0.500 1
S1 0.000 0.500 0.000 1
N1 0.000 0.000 0.500 1
# uncorrected formation energy: 0.708 eV per atom
# density of states at the Fermi level: 5.1 states/eV/f.u.
# total magnetization: 0.4 Bohr magnetons per cell